# H2PtSeBr

A crystal of H2PtSeBr relaxed with PBEsol (meta-GGA SCAN, Alexandria).

Cell and atoms, written as CIF:
```
data_H2PtSeBr
_chemical_formula_sum 'H2 Pt1 Se1 Br1'
_symmetry_space_group_name_H-M 'P 1'
_symmetry_Int_Tables_number 1
_symmetry_space_group_name_Hall 'P 1'
_cell_length_a 3.527
_cell_length_b 3.527
_cell_length_c 7.102
_cell_angle_alpha 90.00
_cell_angle_beta 90.00
_cell_angle_gamma 90.00
loop_
_atom_site_label
_atom_site_type_symbol
_atom_site_fract_x
_atom_site_fract_y
_atom_site_fract_z
H1 H 0.000 0.500 0.000
H2 H 0.500 0.000 0.000
Pt1 Pt 0.000 0.000 0.500
Se1 Se 0.500 0.500 0.500
Br1 Br 0.000 0.000 0.000
```

Output
* uncorrected energy: -22.82 eV per atom
* mass density: 6.691 g cm⁻³